A geometry-optimized ZnCuOs2 structure, computed with PBE.

## Properties
Its volume is 14.0 Å³ per atom. The raw total energy comes out at -27.23 eV per cell.

```
4
Lattice="-5.8409 -5.4637 -3.7607 -3.7469 -7.1900 -3.5177 -5.4496 -6.8105 -1.4247" Properties=species:S:1:pos:R:3 pbc="T T T"
Cu -11.2862 -14.6087 -6.5321
Os -15.0321 -19.4573 -8.7001
Os -3.7846 -4.8987 -2.1904
Zn -7.4906 -9.6957 -4.3353
```

***

A geometry-optimized Rb2NaSn2Cl7 structure, computed with PBE.

## Properties
Its volume is 35.6 Å³ per atom. The raw total energy comes out at -41.00 eV per cell. The calculation puts the uncorrected formation energy at -32.315 kcal/mol of atoms.

```
12
Lattice="-3.3036 -2.1961 -4.1012 5.3356 0.3232 -1.9960 4.0264 -14.0748 0.3203" Properties=species:S:1:pos:R:3 pbc="T T T"
Cl 3.7858 -3.3765 -4.1356
Cl 2.2726 -12.5712 -1.6414
Cl 3.7828 -9.6934 -3.9233
Cl 0.6516 -4.2905 -4.8993
Cl 1.0160 -0.9365 -3.0486
Cl 2.2756 -6.2543 -1.8537
Cl 5.4067 -11.6572 -0.8777
Rb 3.1708 -6.6823 -5.0153
Rb 2.8876 -9.2654 -0.7617
Na 0.0000 0.0000 0.0000
Sn 4.3756 -12.3665 -3.1572
Sn 1.6827 -3.5812 -2.6197
```

***

A geometry-optimized TlCrBr structure, computed with PBE.

## Properties
Its volume is 26.3 Å³ per atom. The raw total energy comes out at -13.20 eV per cell. The calculation puts the uncorrected formation energy at 3.528 kcal/mol of atoms. The energy relative to the lowest polymorph listed for this composition comes out at 13 meV/atom.

```
3
Lattice="6.7986 -0.0001 0.0000 4.9659 4.6434 0.0000 -5.8823 -2.3217 2.4961" Properties=species:S:1:pos:R:3 pbc="T T T"
Cr 7.6772 3.0301 0.0000
Br 0.5086 0.2007 0.0000
Tl 3.5787 1.4125 0.0000
```

***

A geometry-optimized CePu6S8 structure, computed with PBE.

## Properties
Its volume is 23.7 Å³ per atom. The raw total energy comes out at -151.55 eV per cell. The calculation puts the uncorrected formation energy at -40.900 kcal/mol of atoms.

```
15
Lattice="0.8210 -2.6002 7.4700 1.3797 -7.7055 1.3988 7.1267 -2.3495 2.6316" Properties=species:S:1:pos:R:3 pbc="T T T"
S 6.9955 -9.4915 8.6252
S 2.3318 -3.1638 2.8751
S 3.0225 -7.0162 3.5756
S 3.4328 -8.3157 7.3087
S 5.8946 -4.3396 4.1917
S 6.5841 -8.1904 4.8907
S 2.7433 -4.4649 6.6096
S 6.3049 -5.6390 7.9247
Pu 1.1003 -5.1529 4.4344
Pu 3.5634 -1.1748 1.3158
Pu 3.9739 -2.4749 5.0508
Pu 0.4105 -1.3001 3.7350
Pu 0.6898 -3.8528 0.6994
Pu 4.2532 -5.0275 2.0152
Ce 0.0000 0.0000 0.0000
```

***

A geometry-optimized KZr4P structure, computed with PBE.

## Properties
Its volume is 24.8 Å³ per atom. The raw total energy comes out at -35.88 eV per cell.

```
6
Lattice="0.0000 4.2064 4.2064 4.2064 0.0000 4.2064 4.2064 4.2064 0.0000" Properties=species:S:1:pos:R:3 pbc="T T T"
Zr 5.2479 5.2479 3.1648
Zr 3.1648 5.2479 5.2479
Zr 3.1648 3.1648 3.1648
Zr 5.2479 3.1648 5.2479
P 0.0000 0.0000 0.0000
K 6.3096 6.3096 6.3096
```